{"formula": "NaTeRuI2", "functional": "PBE-GGA", "state": "relaxed", "rho_g_cm3": 4.46, "sg": "P4/mmm", "e_form_raw_mev_per_atom": 991, "de_polymorph_mev_per_atom": 1085.5, "lattice_angstrom": [[-5.238, 0.683, 2.206], [0.889, -4.449, 3.490], [2.137, 3.545, 3.975]], "species": ["Te", "I", "I", "Ru", "Na"], "fractional_positions": [[0.000, 0.000, 0.500], [0.500, 0.000, 0.000], [0.000, 0.500, 0.000], [0.500, 0.500, 0.500], [0.000, 0.000, 0.000]]}